Here is an optimized crystal structure of NbPRu2Br from Alexandria. Energies are from PBE.

The structure belongs to space group P4/mmm (No. 123); the cell edges are 4.5035, 4.5035 and 4.8071 Å and the angles 90.00°, 90.00° and 90.00°. Symmetry generates all atoms from Nb at (0.0000, 0.0000, 0.0000), P at (0.5000, 0.5000, 0.0000), Ru at (0.0000, 0.5000, 0.5000) and Br at (0.0000, 0.0000, 0.5000).

The calculation puts the uncorrected formation energy at 1516 meV per atom.